# Pr8Ru3AuI4 (GGA-PBE, optimized geometry)
data_Pr8Ru3AuI4
_symmetry_space_group_name_H-M 'R -3 m'
_symmetry_Int_Tables_number 166
_symmetry_space_group_name_Hall '-R 3 2"'
_cell_length_a 8.4844
_cell_length_b 8.4844
_cell_length_c 24.6260
_cell_angle_alpha 90.00
_cell_angle_beta 90.00
_cell_angle_gamma 120.00
loop_
_atom_site_label
_atom_site_type_symbol
_atom_site_fract_x
_atom_site_fract_y
_atom_site_fract_z
Pr1 Pr 0.0000 0.0000 0.2299
Pr2 Pr 0.0196 0.5098 0.7712
Ru1 Ru 0.0000 0.5000 0.5000
Au1 Au 0.0000 0.0000 0.5000
I1 I 0.0000 0.0000 0.0000
I2 I 0.0000 0.5000 0.0000
# - Fermi-level density of states: 7.36 states/eV/f.u.

---

# Sb2MoCl (GGA-PBE, optimized geometry)
data_Sb2MoCl
_symmetry_space_group_name_H-M 'I -4 2 d'
_symmetry_Int_Tables_number 122
_symmetry_space_group_name_Hall 'I -4 2bw'
_cell_length_a 6.492
_cell_length_b 6.492
_cell_length_c 12.748
_cell_angle_alpha 90.00
_cell_angle_beta 90.00
_cell_angle_gamma 90.00
loop_
_atom_site_label
_atom_site_type_symbol
_atom_site_fract_x
_atom_site_fract_y
_atom_site_fract_z
Sb1 Sb 0.184 0.250 0.125
Mo1 Mo 0.000 0.000 0.000
Cl1 Cl 0.000 0.000 0.500
# - Fermi-level density of states: 8.55 states/eV/f.u.
# - Energy above the lowest structure with this stoichiometry: 495 meV per atom

---

no.,uncorrected formation energy (kJ/mol of atoms)
1,-69.4
2,46.6